No. 1
The following is a DFT calculation (PBE-GGA) of Dy2ErMg3Pt3 after structural relaxation.

Summary:
DFT total energy in eV per cell: -90.6
M_tot in Bohr magnetons per cell: 0.022

Cell lengths 4.073, 12.696, 7.337 Å; angles 90.00, 90.00, 90.00 degrees
Space group Amm2 (No. 38)
Symmetry-distinct sites (fractional):
Dy 0.000 0.205 0.000 [4 per cell]
Er 0.000 0.000 0.614 [2 per cell]
Mg 0.500 0.000 0.959 [2 per cell]
Mg 0.500 0.123 0.328 [4 per cell]
Pt 0.000 0.000 0.206 [2 per cell]
Pt 0.500 0.166 0.704 [4 per cell]

=====

No. 2
The following is a DFT calculation (PBE-GGA) of DyEr2Mg3Pt3 after structural relaxation.

Summary:
DFT total energy in eV per cell: -90.6
M_tot in Bohr magnetons per cell: 0.020

Cell lengths 4.069, 12.678, 7.313 Å; angles 90.00, 90.00, 90.00 degrees
Space group Amm2 (No. 38)
Symmetry-distinct sites (fractional):
Dy 0.000 0.000 0.000 [2 per cell]
Er 0.000 0.205 0.614 [4 per cell]
Mg 0.500 0.000 0.656 [2 per cell]
Mg 0.500 0.123 0.287 [4 per cell]
Pt 0.000 0.000 0.411 [2 per cell]
Pt 0.500 0.168 0.909 [4 per cell]

=====

No. 3
The following is a DFT calculation (PBE-GGA) of Dy2ErMg4Tl2 after structural relaxation.

Summary:
DFT total energy in eV per cell: -53.5
M_tot in Bohr magnetons per cell: 0.004

Cell lengths 4.638, 13.081, 7.580 Å; angles 90.00, 90.00, 90.00 degrees
Space group Amm2 (No. 38)
Symmetry-distinct sites (fractional):
Dy 0.000 0.218 0.000 [4 per cell]
Er 0.000 0.000 0.655 [2 per cell]
Mg 0.000 0.000 0.220 [2 per cell]
Mg 0.500 0.000 0.977 [2 per cell]
Mg 0.500 0.121 0.339 [4 per cell]
Tl 0.500 0.166 0.718 [4 per cell]

=====

No. 4
The following is a DFT calculation (PBE-GGA) of DyErTm2Mg2 after structural relaxation.

Summary:
DFT total energy in eV per cell: -43.1
M_tot in Bohr magnetons per cell: 0.079

Cell lengths 5.424, 3.605, 17.142 Å; angles 90.00, 90.00, 90.00 degrees
Space group Amm2 (No. 38)
Symmetry-distinct sites (fractional):
Dy 0.000 0.000 0.000 [2 per cell]
Er 0.500 0.000 0.191 [2 per cell]
Tm 0.000 0.000 0.321 [2 per cell]
Tm 0.500 0.000 0.869 [2 per cell]
Mg 0.000 0.000 0.660 [2 per cell]
Mg 0.500 0.000 0.531 [2 per cell]

=====

What is the formula in the second record? DyEr2Mg3Pt3